[1]
Ac2MnWO8 (GGA+U, optimized geometry); E_tot = -7.5610 eV per atom; V = 14.7 A^3/atom
1.0
4.474 0.000 0.000
0.572 5.567 0.000
0.304 0.639 7.103
Ac Mn W O
2 1 1 8
direct
0.189 0.017 0.249 Ac
0.811 0.983 0.751 Ac
0.500 0.500 0.000 Mn
0.500 0.500 0.500 W
0.190 0.750 0.554 O
0.296 0.813 0.953 O
0.301 0.239 0.630 O
0.316 0.466 0.252 O
0.684 0.534 0.748 O
0.699 0.761 0.370 O
0.704 0.187 0.047 O
0.810 0.250 0.446 O

[2]
Ac2YMnO6 (GGA+U, optimized geometry); E_tot = -8.0243 eV per atom; V = 14.3 A^3/atom
1.0
5.015 -2.923 0.000
5.015 2.923 0.000
-3.338 0.000 4.876
Ac Y Mn O
2 1 1 6
direct
0.246 0.246 0.231 Ac
0.754 0.754 0.769 Ac
0.000 0.000 0.500 Y
0.500 0.500 0.000 Mn
0.207 0.688 0.182 O
0.266 0.266 0.674 O
0.312 0.793 0.818 O
0.688 0.207 0.182 O
0.734 0.734 0.326 O
0.793 0.312 0.818 O

[3]
Ac4Mn3ZnO12 (GGA+U, optimized geometry); E_tot = -7.4872 eV per atom; V = 12.8 A^3/atom
1.0
-3.995 3.995 3.995
3.995 -3.995 3.995
3.995 3.995 -3.995
Ac Mn Zn O
4 3 1 12
direct
0.000 0.000 0.500 Ac
0.000 0.500 0.000 Ac
0.500 0.000 0.000 Ac
0.500 0.500 0.500 Ac
0.000 0.500 0.500 Mn
0.500 0.000 0.500 Mn
0.500 0.500 0.000 Mn
0.000 0.000 0.000 Zn
0.000 0.258 0.258 O
0.000 0.742 0.742 O
0.250 0.500 0.750 O
0.250 0.750 0.500 O
0.258 0.000 0.258 O
0.258 0.258 0.000 O
0.500 0.250 0.750 O
0.500 0.750 0.250 O
0.742 0.000 0.742 O
0.742 0.742 0.000 O
0.750 0.250 0.500 O
0.750 0.500 0.250 O

[4]
Ac3MnZn2O8 (GGA+U, optimized geometry); E_tot = -6.6653 eV per atom; V = 14.3 A^3/atom
1.0
5.641 0.000 0.000
-2.820 4.885 0.000
0.000 0.000 7.264
Ac Mn Zn O
3 1 2 8
direct
0.000 0.000 0.000 Ac
0.333 0.667 0.631 Ac
0.667 0.333 0.369 Ac
0.000 0.000 0.500 Mn
0.333 0.667 0.195 Zn
0.667 0.333 0.805 Zn
0.158 0.317 0.330 O
0.158 0.842 0.330 O
0.317 0.158 0.670 O
0.333 0.667 0.942 O
0.667 0.333 0.058 O
0.683 0.842 0.330 O
0.842 0.158 0.670 O
0.842 0.683 0.670 O

[5]
Ac2MnZnO5 (GGA+U, optimized geometry); E_tot = -6.7730 eV per atom; V = 16.8 A^3/atom
1.0
7.239 0.000 0.000
0.000 7.239 0.000
0.000 0.000 5.779
Ac Mn Zn O
4 2 2 10
direct
0.182 0.318 0.000 Ac
0.318 0.818 0.000 Ac
0.682 0.182 0.000 Ac
0.818 0.682 0.000 Ac
0.000 0.500 0.500 Mn
0.500 0.000 0.500 Mn
0.000 0.000 0.500 Zn
0.500 0.500 0.500 Zn
0.000 0.000 0.000 O
0.128 0.628 0.260 O
0.128 0.628 0.740 O
0.372 0.128 0.260 O
0.372 0.128 0.740 O
0.500 0.500 0.000 O
0.628 0.872 0.260 O
0.628 0.872 0.740 O
0.872 0.372 0.260 O
0.872 0.372 0.740 O

[6]
Ac3MnZn2O9 (GGA+U, optimized geometry); E_tot = -6.8063 eV per atom; V = 12.7 A^3/atom
1.0
5.633 0.000 0.000
-2.817 4.879 0.000
0.000 0.000 6.934
Ac Mn Zn O
3 1 2 9
direct
0.000 0.000 0.000 Ac
0.333 0.667 0.672 Ac
0.667 0.333 0.328 Ac
0.000 0.000 0.500 Mn
0.333 0.667 0.170 Zn
0.667 0.333 0.830 Zn
0.000 0.500 0.000 O
0.161 0.322 0.340 O
0.161 0.839 0.340 O
0.322 0.161 0.660 O
0.500 0.000 0.000 O
0.500 0.500 0.000 O
0.678 0.839 0.340 O
0.839 0.161 0.660 O
0.839 0.678 0.660 O

- Number 1 is which compound?
  Ac2MnWO8